No. 1
In2CoAg | GGA-PBE | relaxed

Cell: 7.420 7.420 5.819 Å, 90.00 90.00 90.00°
Space group I-42d (No. 122)
Unique sites:
In 0.214 0.250 0.125
Co 0.000 0.000 0.000
Ag 0.000 0.000 0.500

Results
E above lowest polymorph: 0.321 eV per atom

No. 2
InCo2Ag | GGA-PBE | relaxed

Cell: 3.954 3.954 7.691 Å, 90.00 90.00 90.00°
Space group I-4m2 (No. 119)
Unique sites:
In 0.000 0.000 0.000
Co 0.000 0.000 0.500
Co 0.000 0.500 0.250
Ag 0.000 0.500 0.750

No. 3
InCo2Ag | GGA-PBE | relaxed

Cell: 2.9127 2.9127 25.9222 Å, 90.00 90.00 120.00°
Space group R3m (No. 160, hexagonal axes)
Unique sites:
In 0.0000 0.0000 0.0000
Co 0.0000 0.0000 0.4827
Co 0.0000 0.0000 0.7515
Ag 0.0000 0.0000 0.2345

No. 4
In2CoAg | GGA-PBE | relaxed

Cell: 4.620 4.620 3.359 Å, 90.00 90.00 90.00°
Space group P4/mmm (No. 123)
Unique sites:
In 0.000 0.500 0.000
Co 0.000 0.000 0.500
Ag 0.500 0.500 0.500

Results
E above lowest polymorph: 0.103 eV per atom

Number 1: ΔE_f 0.414 eV/atom. Number 2: ΔE_f 0.318 eV/atom. Number 3: ΔE_f 0.392 eV/atom. Number 4: ΔE_f 0.196 eV/atom.